Entry from Alexandria via LeMat-Bulk: a geometry-optimized NaTlS2 structure (PBE-GGA).

Calculated values
- Formation energy without anion corrections: -0.450 eV per atom
- M_tot: 0.00 μB/f.u.
- Density: 4.71 Mg/m³
- V: 410.9 Å³ per cell
- Uncorrected energy: -54.97 eV/cell

a b c (Å): 7.410 3.866 14.346
angles (deg): 90.00 90.00 90.00
Positions (direct):
S  0.264  0.750  0.482
S  0.416  0.250  0.715
S  0.736  0.250  0.518
S  0.764  0.750  0.018
S  0.916  0.250  0.785
S  0.236  0.250  0.982
S  0.084  0.750  0.215
S  0.584  0.750  0.285
Na  0.909  0.750  0.388
Na  0.409  0.750  0.112
Na  0.591  0.250  0.888
Na  0.091  0.250  0.612
Tl  0.961  0.250  0.113
Tl  0.539  0.750  0.613
Tl  0.039  0.750  0.887
Tl  0.461  0.250  0.387